A geometry-optimized RbMgGa2 structure. Source: Alexandria via LeMat-Bulk, functional PBE-GGA.

Geometry as POSCAR:
```
RbMgGa2
1.0
-2.662 2.662 9.726
2.662 -2.662 9.726
2.662 2.662 -9.726
Rb Mg Ga
2 2 4
direct
0.000 0.000 0.000
0.750 0.250 0.500
0.250 0.750 0.500
0.500 0.500 0.000
0.355 0.625 0.230
0.375 0.605 0.730
0.395 0.125 0.770
0.875 0.645 0.270
```

Output
* crystal system: tetragonal
* size of the total moment: 0.000 μB/atom
* N(E_F): 0.571 states/eV per atom
* energy of formation: 0.14 eV per atom

A geometry-optimized RbMg2Ga6 structure. Source: Alexandria via LeMat-Bulk, functional PBE-GGA.

Geometry as POSCAR:
```
RbMg2Ga6
1.0
-2.189 4.098 6.042
2.189 -4.098 6.042
2.189 4.098 -6.042
Rb Mg Ga
1 2 6
direct
0.000 0.000 0.000
0.367 0.867 0.500
0.633 0.133 0.500
0.041 0.304 0.737
0.345 0.500 0.845
0.433 0.696 0.737
0.567 0.304 0.263
0.655 0.500 0.155
0.959 0.696 0.263
```

Output
* crystal system: orthorhombic
* size of the total moment: 0.000 μB/atom
* N(E_F): 0.448 states/eV per atom
* energy of formation: -0.09 eV per atom

A geometry-optimized RbMg2Ga10 structure. Source: Alexandria via LeMat-Bulk, functional PBE-GGA.

Geometry as POSCAR:
```
RbMg2Ga10
1.0
0.000 6.780 6.876
2.953 0.000 6.876
2.953 6.780 0.000
Rb Mg Ga
1 2 10
direct
0.000 0.000 0.000
0.000 0.000 0.500
0.500 0.500 0.000
0.000 0.359 0.641
0.000 0.500 0.000
0.000 0.641 0.359
0.268 0.493 0.507
0.359 0.000 0.000
0.493 0.268 0.732
0.500 0.000 0.500
0.507 0.732 0.268
0.641 0.000 0.000
0.732 0.507 0.493
```

Output
* crystal system: orthorhombic
* size of the total moment: 0.000 μB/atom
* N(E_F): 0.338 states/eV per atom
* energy of formation: -0.03 eV per atom